[1]
This record from the Alexandria database describes an optimized crystal structure of KFeAg2. The functional is PBE-GGA.

Output
The crystal system is monoclinic. For the energy of formation, the calculation gives 0.514 eV/atom. Its density is 5.502 g cm⁻³. For the density of states at the Fermi level, the calculation gives 3.73 states/eV/f.u. The value obtained for the distance to the lowest polymorph of the same formula is 0.0707 eV per atom.

a b c (Å): 2.830 4.612 7.185
angles (deg): 90.00 90.29 90.00
Space group Pm (No. 6)
Symmetry-distinct sites (fractional):
K (0.000, 0.000, 0.000) (multiplicity 1)
Fe (0.009, 0.500, 0.621) (multiplicity 1)
Ag (0.505, 0.500, 0.299) (multiplicity 1)
Ag (0.508, 0.000, 0.560) (multiplicity 1)

***

[2]
This record from the Alexandria database describes an optimized crystal structure of KFe2Ag. The functional is PBE-GGA.

Output
The crystal system is orthorhombic. For the energy of formation, the calculation gives 1.021 eV/atom. Its density is 5.682 g cm⁻³. For the density of states at the Fermi level, the calculation gives 5.51 states/eV/f.u. The value obtained for the distance to the lowest polymorph of the same formula is 0.4769 eV per atom.

a b c (Å): 2.741 5.090 5.418
angles (deg): 90.00 90.00 90.00
Space group Pmmm (No. 47)
Symmetry-distinct sites (fractional):
K (0.000, 0.000, 0.000) (multiplicity 1)
Fe (0.000, 0.500, 0.500) (multiplicity 1)
Fe (0.500, 0.000, 0.500) (multiplicity 1)
Ag (0.500, 0.500, 0.000) (multiplicity 1)

***

[3]
This record from the Alexandria database describes an optimized crystal structure of KFe2Ag. The functional is PBE-GGA.

Output
The crystal system is tetragonal. For the energy of formation, the calculation gives 1.128 eV/atom. Its density is 5.574 g cm⁻³. For the density of states at the Fermi level, the calculation gives 5.92 states/eV/f.u. The value obtained for the distance to the lowest polymorph of the same formula is 0.5832 eV per atom.

a b c (Å): 4.017 4.017 9.551
angles (deg): 90.00 90.00 90.00
Space group I4/mmm (No. 139)
Symmetry-distinct sites (fractional):
K (0.000, 0.000, 0.000) (multiplicity 2)
Fe (0.000, 0.500, 0.250) (multiplicity 4)
Ag (0.000, 0.000, 0.500) (multiplicity 2)

***

[4]
This record from the Alexandria database describes an optimized crystal structure of KFeAgN. The functional is PBE-GGA.

Output
The calculation puts the formation energy from raw total energies at 21.0 kJ/mol of formula units. The crystal system is tetragonal. Its density is 4.822 g cm⁻³. For the density of states at the Fermi level, the calculation gives 1.53 states/eV/f.u.

a b c (Å): 3.576 3.576 11.675
angles (deg): 90.00 90.00 90.00
Space group P4/nmm (No. 129, origin choice 2)
Symmetry-distinct sites (fractional):
K (0.250, 0.250, 0.236) (multiplicity 2)
Fe (0.250, 0.750, 0.000) (multiplicity 2)
Ag (0.250, 0.750, 0.500) (multiplicity 2)
N (0.250, 0.250, 0.932) (multiplicity 2)